Record 1
Crystalline Ac8SnTe4As3 at its relaxed geometry. Source: Alexandria via LeMat-Bulk, functional PBE.

DFT total energy	-5.42	eV per atom
N(E_F)	4.596	states/eV/cell
energy relative to the elements, uncorrected	-1.4541	eV per atom
space-group type	R-3m

Cell: 9.4343 9.4343 9.4343 Å, 59.17 59.17 59.17°
Closest atoms and distances in Å follow each position.
Atoms (fractional coordinates):
Ac: 0.2368 0.7460 0.7460  2 As 3.20, 1 Sn 3.26, 3 Te 3.37-3.43
Ac: 0.2411 0.2411 0.2411  3 As 3.20, 3 Te 3.44
Ac: 0.2540 0.2540 0.7632  2 As 3.20, 1 Sn 3.26, 3 Te 3.37-3.43
Ac: 0.2540 0.7632 0.2540  2 As 3.20, 1 Sn 3.26, 3 Te 3.37-3.43
Ac: 0.7460 0.2368 0.7460  2 As 3.20, 1 Sn 3.26, 3 Te 3.37-3.43
Ac: 0.7460 0.7460 0.2368  2 As 3.20, 1 Sn 3.26, 3 Te 3.37-3.43
Ac: 0.7589 0.7589 0.7589  3 As 3.20, 3 Te 3.44
Ac: 0.7632 0.2540 0.2540  2 As 3.20, 1 Sn 3.26, 3 Te 3.37-3.43
Sn: 0.5000 0.5000 0.5000  6 Ac 3.26
Te: 0.0000 0.0000 0.0000  6 Ac 3.37
Te: 0.0000 0.5000 0.5000  6 Ac 3.43-3.44
Te: 0.5000 0.0000 0.5000  6 Ac 3.43-3.44
Te: 0.5000 0.5000 0.0000  6 Ac 3.43-3.44
As: 0.0000 0.0000 0.5000  6 Ac 3.20
As: 0.0000 0.5000 0.0000  6 Ac 3.20
As: 0.5000 0.0000 0.0000  6 Ac 3.20

***

Record 2
Crystalline BeCdPt3 at its relaxed geometry. Source: Alexandria via LeMat-Bulk, functional PBE.

DFT total energy	-4.97	eV per atom
relative energy among the computed polymorphs	18	meV/atom
N(E_F)	4.176	states/eV/cell
DFT formation energy	-0.4203	eV/atom
space-group type	P-1

Cell: 2.8178 7.2179 7.7439 Å, 102.42 100.45 90.19°
Closest atoms and distances in Å follow each position.
Atoms (fractional coordinates):
Be: 0.0928 0.0480 0.1858  8 Pt 2.42-2.52
Be: 0.9072 0.9520 0.8142  8 Pt 2.42-2.52
Cd: 0.1079 0.5380 0.2154  2 Cd 2.82, 9 Pt 2.83-3.10
Cd: 0.8921 0.4620 0.7846  2 Cd 2.82, 9 Pt 2.83-3.10
Pt: 0.3073 0.7212 0.6170  2 Be 2.43
Pt: 0.3189 0.1223 0.6394  2 Be 2.44-2.45, 1 Pt 2.73
Pt: 0.4978 0.7932 0.9936  4 Be 2.42-2.52
Pt: 0.5022 0.2068 0.0064  4 Be 2.42-2.52
Pt: 0.6811 0.8777 0.3606  2 Be 2.44-2.45, 1 Pt 2.73
Pt: 0.6927 0.2788 0.3830  2 Be 2.43

***

The lowest DFT total energy belongs to which entry?
Ac8SnTe4As3

***

Which formula does entry 2 have?
BeCdPt3